A plane-wave DFT calculation with GGA-PBE was carried out for ReAgP2 after structural relaxation.

Lattice parameters (Å, degrees): 3.1315 3.1315 6.4060 90.00 90.00 90.00
Fractional positions:
P 0.0000 0.0000 0.0475
P 0.5000 0.5000 0.2752
Ag 0.5000 0.5000 0.7530
Re 0.0000 0.0000 0.4242

Results
Energy above the most stable polymorph in this dataset ... 0.326 eV per atom
Total moment ... 0.000 μB/cell
Fermi-level density of states ... 0.393 states/eV per atom
Space-group type ... P4mm (99)
Calculated formation energy ... 0.35 eV per atom



A plane-wave DFT calculation with GGA-PBE was carried out for Ba3P after structural relaxation.

Lattice parameters (Å, degrees): 4.3556 7.8072 12.5885 90.00 90.00 106.20
Fractional positions:
P 0.7812 0.5624 0.2500
P 0.2188 0.4376 0.7500
Ba 0.6356 0.2712 0.9077
Ba 0.1256 0.2511 0.2500
Ba 0.3644 0.7288 0.4077
Ba 0.3644 0.7288 0.0923
Ba 0.6356 0.2712 0.5923
Ba 0.8744 0.7489 0.7500

Results
Energy above the most stable polymorph in this dataset ... 0.039 eV per atom
Total moment ... 0.000 μB/cell
Fermi-level density of states ... 0.906 states/eV per atom
Space-group type ... Cmcm (63)
Calculated formation energy ... -0.54 eV per atom



A plane-wave DFT calculation with GGA-PBE was carried out for CuMoPt14 after structural relaxation.

Lattice parameters (Å, degrees): 5.6175 5.6175 7.8387 90.00 90.00 90.00
Fractional positions:
Cu 0.3750 0.3750 0.5000
Pt 0.8750 0.8750 0.0000
Pt 0.6258 0.6258 0.7428
Pt 0.3750 0.8750 0.0000
Pt 0.1241 0.6259 0.7428
Pt 0.3750 0.3750 0.0000
Pt 0.8750 0.3750 0.5000
Pt 0.1241 0.6259 0.2572
Pt 0.6259 0.1241 0.7428
Pt 0.6258 0.6258 0.2572
Pt 0.1242 0.1242 0.7428
Pt 0.1242 0.1242 0.2572
Pt 0.6259 0.1241 0.2572
Pt 0.8750 0.3750 0.0000
Pt 0.3750 0.8750 0.5000
Mo 0.8750 0.8750 0.5000

Results
Total moment ... 0.000 μB/cell
Fermi-level density of states ... 1.447 states/eV per atom
Space-group type ... P4/mmm (123)
Calculated formation energy ... -0.13 eV per atom



A plane-wave DFT calculation with GGA-PBE was carried out for SmHoCuAg after structural relaxation.

Lattice parameters (Å, degrees): 5.0849 5.0849 5.0849 60.00 60.00 60.00
Fractional positions:
Sm 0.5000 0.5000 0.5000
Ag 0.7500 0.7500 0.7500
Ho 0.0000 0.0000 0.0000
Cu 0.2500 0.2500 0.2500

Results
Energy above the most stable polymorph in this dataset ... 0.026 eV per atom
Total moment ... 0.000 μB/cell
Fermi-level density of states ... 0.742 states/eV per atom
Space-group type ... F-43m (216)
Calculated formation energy ... -0.24 eV per atom



A plane-wave DFT calculation with GGA-PBE was carried out for YBeCuPd2 after structural relaxation.

Lattice parameters (Å, degrees): 4.4074 4.4074 4.2213 90.00 90.00 90.00
Fractional positions:
Pd 0.0000 0.5000 0.0000
Pd 0.5000 0.0000 0.0000
Cu 0.0000 0.0000 0.5000
Y 0.5000 0.5000 0.5000
Be 0.0000 0.0000 0.0000

Results
Total moment ... 0.000 μB/cell
Fermi-level density of states ... 0.628 states/eV per atom
Space-group type ... P4/mmm (123)
Calculated formation energy ... -0.45 eV per atom



A plane-wave DFT calculation with GGA-PBE was carried out for BeZn3Ni after structural relaxation.

Lattice parameters (Å, degrees): 4.1741 4.1741 4.1741 90.00 90.00 90.00
Site moments in Bohr magnetons follow the coordinates.
Fractional positions:
Zn 0.5000 0.0000 0.0000  0.00
Zn 0.0000 0.0000 0.5000  0.02
Zn 0.0000 0.5000 0.0000  0.00
Be 0.0000 0.0000 0.0000  0.02
Ni 0.5000 0.5000 0.5000  0.24

Results
Energy above the most stable polymorph in this dataset ... 0.000 eV per atom
Total moment ... 0.266 μB/cell
Fermi-level density of states ... 0.524 states/eV per atom
Space-group type ... Pm-3m (221)
Calculated formation energy ... 0.51 eV per atom